Record 1
A plane-wave DFT calculation with GGA+U was carried out for a geometry-optimized LiVPO5 structure.

abc: 9.1260 6.3657 6.3651
angles: 90.00 90.00 90.00
Atoms (fractional coordinates):
1 Li 0.2423 0.0127 0.0000
2 Li 0.2577 0.5127 0.5000
3 Li 0.7423 0.4873 0.0000
4 Li 0.7577 0.9873 0.5000
5 V 0.0398 0.7535 0.2642
6 V 0.4602 0.2535 0.7642
7 V 0.5398 0.7465 0.2642
8 V 0.9602 0.2465 0.7642
9 P 0.0000 0.2514 0.2632
10 P 0.0000 0.7486 0.7632
11 P 0.5000 0.2486 0.2632
12 P 0.5000 0.7514 0.7632
13 O 0.0984 0.4493 0.2763
14 O 0.0992 0.7650 0.9604
15 O 0.1011 0.7379 0.5675
16 O 0.1018 0.0565 0.2491
17 O 0.1406 0.2398 0.7713
18 O 0.3594 0.7398 0.2713
19 O 0.3982 0.5565 0.7491
20 O 0.3989 0.2379 0.0675
21 O 0.4008 0.2650 0.4604
22 O 0.4016 0.9493 0.7763
23 O 0.5984 0.0507 0.2763
24 O 0.5992 0.7350 0.9604
25 O 0.6011 0.7621 0.5675
26 O 0.6018 0.4435 0.2491
27 O 0.6406 0.2602 0.7713
28 O 0.8594 0.7602 0.2713
29 O 0.8982 0.9435 0.7491
30 O 0.8989 0.2621 0.0675
31 O 0.9008 0.2350 0.4604
32 O 0.9016 0.5507 0.7763

Calculated values
Distance to the lowest polymorph of the same formula = 3.11 kJ per mole of atoms

Record 2
A plane-wave DFT calculation with GGA+U was carried out for a geometry-optimized LiVP2O structure.

abc: 4.4276 4.4276 3.3403
angles: 90.00 90.00 90.00
Atoms (fractional coordinates):
1 Li 0.0000 0.0000 0.0000
2 V 0.5000 0.5000 0.5000
3 P 0.0000 0.5000 0.0000
4 P 0.5000 0.0000 0.0000
5 O 0.0000 0.0000 0.5000

Calculated values
Distance to the lowest polymorph of the same formula = 83.71 kJ per mole of atoms

Record 3
A plane-wave DFT calculation with GGA+U was carried out for a geometry-optimized LiV3P3O13 structure.

abc: 7.4272 6.3487 10.7732
angles: 90.00 99.41 90.00
Atoms (fractional coordinates):
1 Li 0.1062 0.2500 0.1303
2 Li 0.8938 0.7500 0.8697
3 V 0.1403 0.2500 0.8023
4 V 0.2703 0.7500 0.4496
5 V 0.5000 0.0000 0.0000
6 V 0.5000 0.5000 0.0000
7 V 0.7297 0.2500 0.5504
8 V 0.8597 0.7500 0.1977
9 P 0.1970 0.7500 0.1253
10 P 0.2356 0.7500 0.7722
11 P 0.2777 0.2500 0.5240
12 P 0.7223 0.7500 0.4760
13 P 0.7644 0.2500 0.2278
14 P 0.8030 0.2500 0.8747
15 O 0.0012 0.2500 0.9504
16 O 0.1160 0.5600 0.7991
17 O 0.1160 0.9400 0.7991
18 O 0.1527 0.7500 0.2612
19 O 0.1621 0.2500 0.6330
20 O 0.2222 0.0531 0.4437
21 O 0.2222 0.4469 0.4437
22 O 0.2951 0.7500 0.6447
23 O 0.2973 0.5456 0.0993
24 O 0.2973 0.9544 0.0993
25 O 0.3595 0.2500 0.9058
26 O 0.4090 0.7500 0.8805
27 O 0.4814 0.2500 0.5829
28 O 0.5186 0.7500 0.4171
29 O 0.5910 0.2500 0.1195
30 O 0.6405 0.7500 0.0942
31 O 0.7027 0.0456 0.9007
32 O 0.7027 0.4544 0.9007
33 O 0.7049 0.2500 0.3553
34 O 0.7778 0.5531 0.5563
35 O 0.7778 0.9469 0.5563
36 O 0.8379 0.7500 0.3670
37 O 0.8473 0.2500 0.7388
38 O 0.8840 0.0600 0.2009
39 O 0.8840 0.4400 0.2009
40 O 0.9988 0.7500 0.0496

Record 4
A plane-wave DFT calculation with GGA+U was carried out for a geometry-optimized LiVPO5 structure.

abc: 5.1513 10.0061 7.5070
angles: 90.00 100.85 90.00
Atoms (fractional coordinates):
1 Li 0.0453 0.1427 0.1790
2 Li 0.0453 0.3573 0.6790
3 Li 0.9547 0.6427 0.3210
4 Li 0.9547 0.8573 0.8210
5 V 0.4919 0.5744 0.6616
6 V 0.4919 0.9256 0.1616
7 V 0.5081 0.0744 0.8384
8 V 0.5081 0.4256 0.3384
9 P 0.3603 0.6645 0.0697
10 P 0.3603 0.8355 0.5697
11 P 0.6397 0.1645 0.4303
12 P 0.6397 0.3355 0.9303
13 O 0.1842 0.7092 0.5419
14 O 0.1842 0.7908 0.0419
15 O 0.2535 0.5614 0.1950
16 O 0.2535 0.9386 0.6950
17 O 0.2978 0.0487 0.0399
18 O 0.2978 0.4513 0.5399
19 O 0.3650 0.5984 0.8854
20 O 0.3650 0.9016 0.3854
21 O 0.3687 0.2273 0.3364
22 O 0.3687 0.2727 0.8364
23 O 0.6313 0.7273 0.1636
24 O 0.6313 0.7727 0.6636
25 O 0.6350 0.0984 0.6146
26 O 0.6350 0.4016 0.1146
27 O 0.7022 0.5487 0.4601
28 O 0.7022 0.9513 0.9601
29 O 0.7465 0.0614 0.3050
30 O 0.7465 0.4386 0.8050
31 O 0.8158 0.2092 0.9581
32 O 0.8158 0.2908 0.4581

Calculated values
Distance to the lowest polymorph of the same formula = 7.54 kJ per mole of atoms

| no. | total magnetization (μB/cell) | E (eV/cell) |
| --- | --- | --- |
| 1 | 4.0 | -228.39 |
| 2 | 0.2 | -21.57 |
| 3 | 10.0 | -298.10 |
| 4 | 4.0 | -226.93 |